a.
The following is a DFT calculation (PBE) of a geometry-optimized SiHSeBrF structure.

a = 4.827 Å, b = 4.966 Å, c = 5.286 Å
α = 95.65°, β = 96.92°, γ = 104.54°
Positions (direct):
Si1 0.412 0.905 0.496
H1 0.622 0.067 0.348
Se1 0.204 0.154 0.751
Br1 0.687 0.662 0.732
F1 0.183 0.654 0.301

* calculated volume: 24.13 Å³/atom
* space group: P1, No. 1



b.
The following is a DFT calculation (PBE) of a geometry-optimized SiHSeBrF structure.

a = 4.947 Å, b = 4.644 Å, c = 12.133 Å
α = 90.00°, β = 91.06°, γ = 90.00°
Positions (direct):
Si1 0.591 0.000 0.074
Si2 0.591 0.500 0.574
H1 0.263 0.000 0.642
H2 0.263 0.500 0.142
Se1 0.419 0.000 0.539
Se2 0.419 0.500 0.039
Br1 0.824 0.000 0.237
Br2 0.824 0.500 0.737
F1 0.824 0.000 0.980
F2 0.824 0.500 0.480

* calculated volume: 27.87 Å³/atom
* space group: Cm, No. 8



c.
The following is a DFT calculation (PBE) of a geometry-optimized SiHSeBrF structure.

a = 3.642 Å, b = 5.546 Å, c = 6.358 Å
α = 57.97°, β = 90.94°, γ = 89.53°
Positions (direct):
Si1 0.836 0.831 0.395
H1 0.830 0.948 0.126
Se1 0.338 0.983 0.531
Br1 0.340 0.485 0.030
F1 0.842 0.489 0.546

* calculated volume: 21.76 Å³/atom
* space group: P1, No. 1



Which structure is most stable, and how do the rest compare? From most to least stable: b, a, c.



a.
The following is a DFT calculation (PBE) of a geometry-optimized HfBr2F structure.

a = 9.951 Å, b = 9.951 Å, c = 7.338 Å
α = 47.31°, β = 47.31°, γ = 90.00°
Site moments in Bohr magnetons follow the coordinates.
Positions (direct):
Hf1 0.000 0.000 0.000  0.71
Hf2 0.750 0.250 0.500  0.73
Br1 0.783 0.125 0.250  0.00
Br2 0.967 0.625 0.250  0.00
Br3 0.375 0.217 0.750  0.00
Br4 0.875 0.033 0.750  0.00
F1 0.500 0.500 0.000  -0.01
F2 0.250 0.750 0.500  -0.01

* calculated volume: 25.78 Å³/atom
* space group: I-42d, No. 122



b.
The following is a DFT calculation (PBE) of a geometry-optimized HfBr2F structure.

a = 4.687 Å, b = 4.687 Å, c = 4.687 Å
α = 60.00°, β = 60.00°, γ = 60.00°
Site moments in Bohr magnetons follow the coordinates.
Positions (direct):
Hf1 0.500 0.500 0.500  0.72
Br1 0.250 0.250 0.250  -0.02
Br2 0.750 0.750 0.750  -0.02
F1 0.000 0.000 0.000  0.01

* calculated volume: 18.21 Å³/atom
* space group: Fm-3m, No. 225



Which structure is most stable, and how do the rest compare? From most to least stable: a, b.



a.
The following is a DFT calculation (PBE) of a geometry-optimized HfBrF2 structure.

a = 4.296 Å, b = 4.296 Å, c = 4.296 Å
α = 60.00°, β = 60.00°, γ = 60.00°
Positions (direct):
Hf1 0.500 0.500 0.500
Br1 0.000 0.000 0.000
F1 0.250 0.250 0.250
F2 0.750 0.750 0.750

* calculated volume: 14.01 Å³/atom
* space group: Fm-3m, No. 225



b.
The following is a DFT calculation (PBE) of a geometry-optimized HfBrF2 structure.

a = 4.623 Å, b = 4.623 Å, c = 7.591 Å
α = 72.27°, β = 72.27°, γ = 90.00°
Site moments in Bohr magnetons follow the coordinates.
Positions (direct):
Hf1 0.000 0.000 0.000  0.47
Hf2 0.750 0.250 0.500  0.47
Br1 0.500 0.500 0.000  -0.01
Br2 0.250 0.750 0.500  -0.01
F1 0.875 0.125 0.250  0.00
F2 0.875 0.625 0.250  0.00
F3 0.375 0.125 0.750  0.00
F4 0.875 0.125 0.750  0.00

* calculated volume: 18.31 Å³/atom
* space group: I4_1/amd, No. 141



Which structure is most stable, and how do the rest compare? From most to least stable: b, a.



a.
The following is a DFT calculation (PBE) of a geometry-optimized HfBrN2F structure.

a = 4.145 Å, b = 4.145 Å, c = 3.997 Å
α = 90.00°, β = 90.00°, γ = 90.00°
Positions (direct):
N1 0.000 0.500 0.000
N2 0.500 0.000 0.000
Hf1 0.500 0.500 0.500
Br1 0.000 0.000 0.000
F1 0.000 0.000 0.500

* calculated volume: 13.73 Å³/atom
* space group: P4/mmm, No. 123



b.
The following is a DFT calculation (PBE) of a geometry-optimized HfBrN2F structure.

a = 4.265 Å, b = 4.265 Å, c = 4.042 Å
α = 90.00°, β = 90.00°, γ = 90.00°
Positions (direct):
N1 0.000 0.500 0.000
N2 0.500 0.000 0.000
Hf1 0.000 0.000 0.000
Br1 0.500 0.500 0.500
F1 0.000 0.000 0.500

* calculated volume: 14.70 Å³/atom
* space group: P4/mmm, No. 123



Which structure is most stable, and how do the rest compare? From most to least stable: b, a.



a.
The following is a DFT calculation (PBE) of a geometry-optimized HfBrOF2 structure.

a = 4.235 Å, b = 4.235 Å, c = 4.123 Å
α = 90.00°, β = 90.00°, γ = 90.00°
Site moments in Bohr magnetons follow the coordinates.
Positions (direct):
Hf1 0.000 0.000 0.000  -0.01
O1 0.000 0.000 0.500  0.27
Br1 0.500 0.500 0.500  0.53
F1 0.000 0.500 0.000  0.01
F2 0.500 0.000 0.000  0.01

* calculated volume: 14.79 Å³/atom
* space group: P4/mmm, No. 123



b.
The following is a DFT calculation (PBE) of a geometry-optimized HfBrOF2 structure.

a = 4.984 Å, b = 4.984 Å, c = 3.637 Å
α = 90.00°, β = 90.00°, γ = 90.00°
Site moments in Bohr magnetons follow the coordinates.
Positions (direct):
Hf1 0.500 0.500 0.500  0.87
O1 0.000 0.000 0.500  -0.02
Br1 0.000 0.000 0.000  0.01
F1 0.000 0.500 0.000  -0.01
F2 0.500 0.000 0.000  -0.01

* calculated volume: 18.06 Å³/atom
* space group: P4/mmm, No. 123



Which structure is most stable, and how do the rest compare? From most to least stable: a, b.



a.
The following is a DFT calculation (PBE) of a geometry-optimized HfSe2BrF structure.

a = 5.152 Å, b = 5.152 Å, c = 5.218 Å
α = 90.00°, β = 90.00°, γ = 90.00°
Site moments in Bohr magnetons follow the coordinates.
Positions (direct):
Hf1 0.000 0.000 0.000  0.05
Se1 0.000 0.500 0.000  -0.31
Se2 0.500 0.000 0.000  -0.31
Br1 0.000 0.000 0.500  -0.10
F1 0.500 0.500 0.500  -0.40

* calculated volume: 27.70 Å³/atom
* space group: P4/mmm, No. 123



b.
The following is a DFT calculation (PBE) of a geometry-optimized HfSe2BrF structure.

a = 4.413 Å, b = 4.413 Å, c = 5.251 Å
α = 90.00°, β = 90.00°, γ = 90.00°
Site moments in Bohr magnetons follow the coordinates.
Positions (direct):
Hf1 0.500 0.500 0.500  0.16
Se1 0.000 0.500 0.000  -0.01
Se2 0.500 0.000 0.000  -0.01
Br1 0.000 0.000 0.500  -0.01
F1 0.000 0.000 0.000  0.00

* calculated volume: 20.45 Å³/atom
* space group: P4/mmm, No. 123



Which structure is most stable, and how do the rest compare? From most to least stable: a, b.